No. 1
# SbAsP2S

SbAsP2S after structural relaxation (PBE, the Alexandria database).

```
SbAsP2S
1.0
4.7591 0.0000 0.0000
0.0000 4.7591 0.0000
0.0000 0.0000 4.7023
Sb As P S
1 1 2 1
Direct
0.0000 0.0000 0.0000 Sb
0.5000 0.5000 0.5000 As
0.0000 0.5000 0.5000 P
0.5000 0.0000 0.5000 P
0.5000 0.5000 0.0000 S
```

Calculated values
* energy relative to the elements, uncorrected: 754 meV/atom
* total magnetization: 0.000 μB/atom
* calculated total energy: -3.989 eV/atom
* space group: P4/mmm (123)
* energy above the lowest structure with this stoichiometry: 0.00 kcal/mol of atoms

=====

No. 2
# CsSmSb2

CsSmSb2 after structural relaxation (PBE, the Alexandria database).

```
CsSmSb2
1.0
4.8557 0.0000 0.0000
-2.4278 4.2051 0.0000
0.0000 0.0000 25.2598
Cs Sm Sb
3 3 6
Direct
0.0000 0.0000 0.0000 Cs
0.3333 0.6667 0.6667 Cs
0.6667 0.3333 0.3333 Cs
0.0000 0.0000 0.5000 Sm
0.3333 0.6667 0.1667 Sm
0.6667 0.3333 0.8333 Sm
0.0000 0.0000 0.2229 Sb
0.0000 0.0000 0.7771 Sb
0.3333 0.6667 0.4437 Sb
0.3333 0.6667 0.8896 Sb
0.6667 0.3333 0.1104 Sb
0.6667 0.3333 0.5563 Sb
```

Calculated values
* energy relative to the elements, uncorrected: -496 meV/atom
* total magnetization: 0.000 μB/atom
* calculated total energy: -3.951 eV/atom
* space group: R-3m (166)

=====

No. 3
# Ca3ScC

Ca3ScC after structural relaxation (PBE, the Alexandria database).

```
Ca3ScC
1.0
5.1657 0.0000 0.0000
0.0000 5.1657 0.0000
0.0000 0.0000 5.1657
Ca Sc C
3 1 1
Direct
0.0000 0.0000 0.5000 Ca
0.0000 0.5000 0.0000 Ca
0.5000 0.0000 0.0000 Ca
0.5000 0.5000 0.5000 Sc
0.0000 0.0000 0.0000 C
```

Calculated values
* E_form: 0.413 eV/atom
* total magnetization: 0.000 μB/atom
* calculated total energy: -3.899 eV/atom
* space group: Pm-3m (221)
* energy above the lowest structure with this stoichiometry: 0.00 kcal/mol of atoms